Entry 1:
The following is a GGA-PBE calculation of La3HgRu after structural relaxation, from Alexandria via LeMat-Bulk.

SG	R3c

Structure (POSCAR):
```
La3HgRu
1.0
-2.785 5.948 2.334
2.067 0.883 6.598
5.018 4.838 0.038
La Ru Hg
6 2 2
Direct
0.157 0.358 0.710 La
0.710 0.157 0.358 La
0.358 0.710 0.157 La
0.210 0.858 0.657 La
0.858 0.657 0.210 La
0.657 0.210 0.858 La
0.528 0.528 0.528 Ru
0.028 0.028 0.028 Ru
0.228 0.228 0.228 Hg
0.728 0.728 0.728 Hg
```

Entry 2:
The following is a GGA-PBE calculation of LaHg2Ru after structural relaxation, from Alexandria via LeMat-Bulk.

SG	Amm2

Structure (POSCAR):
```
LaHg2Ru
1.0
-0.068 -3.818 -1.027
1.354 0.986 -3.755
6.226 -0.104 -0.028
Hg Ru La
2 1 1
Direct
0.000 0.802 0.022 Hg
0.500 0.207 0.210 Hg
0.500 0.972 0.682 Ru
0.000 0.519 0.586 La
```

| no. | ΔH_f (0 K) (eV/f.u.) |
| --- | --- |
| 1 | -1.60 |
| 2 | -0.41 |